The following is a PBE calculation of LaTl2In after structural relaxation, from Alexandria via LeMat-Bulk.

Values from the calculation:
E_tot: -3.20 eV per atom
Formation enthalpy at 0 K: -0.10 eV/atom

Cell: 3.5738 3.5738 32.7965 Å, 90.00 90.00 120.00°
Space group R3m (No. 160, hexagonal axes)
Unique sites:
La: 0.0000 0.0000 0.0000 x3
Tl: 0.0000 0.0000 0.2471 x3
Tl: 0.0000 0.0000 0.4980 x3
In: 0.0000 0.0000 0.7512 x3